Compound: NaZr3W
Source: the Alexandria database
Functional: GGA-PBE
Structure: optimized geometry

Calculated values
calculated volume = 28.1 A^3/atom
energy of formation = 4.1 eV/f.u.
final energy = -35.8 eV/f.u.
energy above the lowest structure with this stoichiometry = 0.000 eV per atom

Lattice parameters (Å, degrees): 5.200 5.200 5.200 90.00 90.00 90.00
Space group Pm-3m (No. 221)
Asymmetric unit:
Na  0.000  0.000  0.000 (multiplicity 1)
Zr  0.000  0.500  0.500 (multiplicity 3)
W  0.500  0.500  0.500 (multiplicity 1)

=====

Compound: BaLa2Y
Source: the Alexandria database
Functional: GGA-PBE
Structure: optimized geometry

Calculated values
calculated volume = 40.5 A^3/atom
energy of formation = 0.8 eV/f.u.
final energy = -17.4 eV/f.u.
energy above the lowest structure with this stoichiometry = 0.105 eV per atom

Lattice parameters (Å, degrees): 3.970 6.356 12.842 90.00 90.00 90.00
Space group Immm (No. 71)
Asymmetric unit:
Ba  0.000  0.000  0.000 (multiplicity 2)
La  0.000  0.500  0.228 (multiplicity 4)
Y  0.000  0.000  0.500 (multiplicity 2)

=====

Compound: ZrTlAsSe2
Source: the Alexandria database
Functional: GGA-PBE
Structure: optimized geometry

Calculated values
calculated volume = 28.3 A^3/atom
formation energy (no corrections) = 3.9 eV per formula unit
final energy = -18.6 eV/f.u.
energy above the lowest structure with this stoichiometry = 1.226 eV per atom

Lattice parameters (Å, degrees): 5.233 5.233 5.169 90.00 90.00 90.00
Space group P4/mmm (No. 123)
Asymmetric unit:
Zr  0.000  0.000  0.000 (multiplicity 1)
Tl  0.500  0.500  0.500 (multiplicity 1)
As  0.500  0.500  0.000 (multiplicity 1)
Se  0.000  0.500  0.500 (multiplicity 2)

=====

Compound: BeHg
Source: the Alexandria database
Functional: GGA-PBE
Structure: optimized geometry

Calculated values
calculated volume = 16.4 A^3/atom
energy of formation = 0.8 eV/f.u.
final energy = -3.2 eV/f.u.
energy above the lowest structure with this stoichiometry = 0.107 eV per atom

Lattice parameters (Å, degrees): 2.896 10.241 6.646 90.00 90.00 90.00
Space group Amm2 (No. 38)
Asymmetric unit:
Be  0.000  0.000  0.000 (multiplicity 2)
Be  0.500  0.168  0.015 (multiplicity 4)
Hg  0.000  0.166  0.699 (multiplicity 4)
Hg  0.500  0.000  0.337 (multiplicity 2)